[1]
Density functional theory data (PBE) for a geometry-optimized Sr2YbGaCu2O7 structure.

a b c (Å): 23.3413 5.4897 5.3866
angles (deg): 90.00 90.00 90.00
Closest atoms and distances in Å follow each position.
Space group Ima2 (No. 46)
Unique sites:
1 Sr 0.1512 0.0156 0.0000  3 O 2.48-2.63
2 Yb 0.0000 0.0000 0.0021  8 O 2.41-2.45
3 Ga 0.2500 0.5698 0.9602  4 O 1.85-1.92
4 Cu 0.0726 0.5007 0.0024  4 O 1.93-1.94
5 O 0.0627 0.2481 0.2508  2 Cu 1.94
6 O 0.0650 0.7493 0.2533  2 Cu 1.93
7 O 0.1766 0.0418 0.5260  1 Ga 1.85
8 O 0.2500 0.6124 0.6060  2 Ga 1.91-1.92

## Properties
ΔE_f (raw), eV per atom: -1.9856



[2]
Density functional theory data (PBE) for a geometry-optimized InPCCl2 structure.

a b c (Å): 5.3313 5.3313 5.2582
angles (deg): 90.00 90.00 90.00
Closest atoms and distances in Å follow each position.
Space group P4/mmm (No. 123)
Unique sites:
1 In 0.0000 0.0000 0.0000  2 P 2.63, 4 Cl 2.67
2 P 0.0000 0.0000 0.5000  2 In 2.63
3 C 0.5000 0.5000 0.5000  8 Cl 3.74, 4 P 3.77
4 Cl 0.0000 0.5000 0.0000  2 In 2.67

## Properties
E above lowest polymorph, meV per atom: 827.3
ΔE_f (raw), eV per atom: 1.4977



[3]
Density functional theory data (PBE) for a geometry-optimized Rb2Na3O2 structure.

a b c (Å): 11.8543 3.4758 8.8498
angles (deg): 90.00 99.74 90.00
Closest atoms and distances in Å follow each position.
Space group C2/m (No. 12)
Unique sites:
1 Rb 0.1912 0.0000 0.3264  2 O 2.79, 1 Na 2.99
2 Na 0.0000 0.5000 0.5000  4 O 2.51
3 Na 0.0995 0.5000 0.8209  2 O 2.34
4 O 0.1225 0.0000 0.6522  4 Na 2.34-2.51

## Properties
ΔE_f (raw), eV per atom: -0.8076



[4]
Density functional theory data (PBE) for a geometry-optimized Pa3Ni2P4 structure.

a b c (Å): 12.2367 3.8203 8.1557
angles (deg): 90.00 122.47 90.00
Closest atoms and distances in Å follow each position.
Space group C2/m (No. 12)
Unique sites:
1 Pa 0.0000 0.0000 0.0000  6 P 2.73-2.83
2 Pa 0.1280 0.5000 0.7093  7 P 2.74-2.99
3 Ni 0.1817 0.5000 0.3731  4 P 2.27-2.40
4 P 0.0881 0.0000 0.3999  3 Ni 2.30-2.40
5 P 0.1843 0.5000 0.0970  1 Ni 2.27

## Properties
ΔH_f (0 K), meV/atom: -1045



[5]
Density functional theory data (PBE) for a geometry-optimized Gd2CoRe structure.

a b c (Å): 3.0479 3.0479 29.8040
angles (deg): 90.00 90.00 120.00
Closest atoms and distances in Å follow each position.
Space group R-3m (No. 166, hexagonal axes)
Unique sites:
1 Gd 0.0000 0.0000 0.0939  3 Co 2.79, 1 Re 2.80, 6 Gd 3.05
2 Co 0.0000 0.0000 0.5000  6 Gd 2.79, 6 Co 3.05
3 Re 0.0000 0.0000 0.0000  2 Gd 2.80, 6 Re 3.05

## Properties
ΔH_f (0 K), meV/atom: 833



[6]
Density functional theory data (PBE) for a geometry-optimized MgNi structure.

a b c (Å): 9.5277 2.8261 4.5061
angles (deg): 90.00 107.68 90.00
Closest atoms and distances in Å follow each position.
Space group C2/m (No. 12)
Unique sites:
1 Mg 0.1054 0.0000 0.3203  7 Ni 2.68-2.69, 4 Mg 2.83-2.97
2 Ni 0.1464 0.5000 0.8470  2 Ni 2.48, 7 Mg 2.68-2.69

## Properties
ΔH_f (0 K), meV/atom: -117



[7]
Density functional theory data (PBE) for a geometry-optimized TlAu2 structure.

a b c (Å): 5.7494 4.9880 9.0507
angles (deg): 90.00 90.00 90.00
Closest atoms and distances in Å follow each position.
Space group Pnma (No. 62)
Unique sites:
1 Tl 0.1062 0.2500 0.1290  8 Au 2.92-3.21
2 Au 0.1294 0.2500 0.4812  6 Au 2.84-3.05, 2 Tl 2.92-3.17
3 Au 0.2155 0.7500 0.2945  6 Au 2.84-3.05, 2 Tl 2.98

## Properties
ΔH_f (0 K), meV/atom: 11
E above lowest polymorph, meV per atom: 9.0



[8]
Density functional theory data (PBE) for a geometry-optimized LiRuRh structure.

a b c (Å): 2.7006 3.8078 7.7788
angles (deg): 90.00 90.00 90.00
Closest atoms and distances in Å follow each position.
Space group Imm2 (No. 44)
Unique sites:
1 Li 0.0000 0.0000 0.0000  5 Ru 2.55-2.69, 5 Rh 2.58-2.68, 2 Li 2.70
2 Ru 0.0000 0.0000 0.6719  5 Li 2.55-2.69, 5 Rh 2.64-2.65, 2 Ru 2.70
3 Rh 0.0000 0.0000 0.3316  5 Li 2.58-2.68, 5 Ru 2.64-2.65, 2 Rh 2.70

## Properties
ΔH_f (0 K), meV/atom: 70
E above lowest polymorph, meV per atom: 42.5



[9]
Density functional theory data (PBE) for a geometry-optimized Ti4Be2N structure.

a b c (Å): 3.9503 3.9503 12.5509
angles (deg): 90.00 90.00 90.00
Closest atoms and distances in Å follow each position.
Space group I4/mmm (No. 139)
Unique sites:
1 Ti 0.0000 0.0000 0.1703  1 N 2.14
2 Ti 0.0000 0.5000 0.0000  2 N 1.98
3 Be 0.0000 0.0000 0.3713  5 Ti 2.52-2.55
4 N 0.0000 0.0000 0.0000  6 Ti 1.98-2.14

## Properties
ΔE_f (raw), eV per atom: -0.3851



[10]
Density functional theory data (PBE) for a geometry-optimized TlBrN2O structure.

a b c (Å): 4.1697 4.1697 3.9572
angles (deg): 90.00 90.00 90.00
Closest atoms and distances in Å follow each position.
Space group P4/mmm (No. 123)
Unique sites:
1 Tl 0.0000 0.0000 0.0000  8 N 2.87, 4 O 2.95
2 Br 0.5000 0.5000 0.5000  2 O 1.98, 4 N 2.08
3 N 0.0000 0.5000 0.5000  2 Br 2.08
4 O 0.5000 0.5000 0.0000  2 Br 1.98

## Properties
ΔE_f (raw), eV per atom: 1.7400



[11]
Density functional theory data (PBE) for a geometry-optimized PrLuTlIn structure.

a b c (Å): 7.6405 7.6405 7.6405
angles (deg): 90.00 90.00 90.00
Closest atoms and distances in Å follow each position.
Space group F-43m (No. 216)
Unique sites:
1 Pr 0.0000 0.0000 0.0000  4 Tl 3.31, 4 In 3.31
2 Lu 0.0000 0.0000 0.5000  4 Tl 3.31, 4 In 3.31
3 Tl 0.2500 0.2500 0.2500  4 Pr 3.31, 4 Lu 3.31
4 In 0.2500 0.2500 0.7500  4 Pr 3.31, 4 Lu 3.31

## Properties
ΔH_f (0 K), meV/atom: -377



[12]
Density functional theory data (PBE) for a geometry-optimized CeHo3Se4 structure.

a b c (Å): 5.7879 5.7879 5.7879
angles (deg): 90.00 90.00 90.00
Closest atoms and distances in Å follow each position.
Space group Pm-3m (No. 221)
Unique sites:
1 Ce 0.0000 0.0000 0.0000  6 Se 2.89
2 Ho 0.0000 0.5000 0.5000  6 Se 2.89
3 Se 0.0000 0.0000 0.5000  2 Ce 2.89, 4 Ho 2.89
4 Se 0.5000 0.5000 0.5000  6 Ho 2.89

## Properties
E above lowest polymorph, meV per atom: 14.0
ΔE_f (raw), eV per atom: -1.7377



| no. | V (Å³ per cell) |
| --- | --- |
| 1 | 690 |
| 2 | 149 |
| 3 | 359 |
| 4 | 322 |
| 5 | 240 |
| 6 | 116 |
| 7 | 260 |
| 8 | 80 |
| 9 | 196 |
| 10 | 69 |
| 11 | 446 |
| 12 | 194 |